Record 1
The following is a DFT calculation (GGA-PBE) of a geometry-optimized CeSm6Er4 structure.

Computed properties:
Electronic total energy ... -4.63 eV/atom
N(E_F) ... 45.75 states/eV/cell
Energy of formation ... 0.144 eV per atom
Space-group type ... Cmcm

Cell: 5.800 5.611 25.808 Å, 90.00 90.00 121.12°
Fractional coordinates of all 22 atoms:
1 Er 0.457 0.913 0.123
2 Sm 0.800 0.600 0.400
3 Er 0.543 0.087 0.623
4 Sm 0.455 0.910 0.250
5 Sm 0.124 0.247 0.180
6 Ce 0.208 0.416 0.750
7 Er 0.848 0.697 0.957
8 Sm 0.545 0.090 0.750
9 Sm 0.500 0.000 0.500
10 Er 0.457 0.913 0.377
11 Er 0.543 0.087 0.877
12 Sm 0.200 0.400 0.600
13 Er 0.152 0.303 0.043
14 Sm 0.876 0.753 0.820
15 Ce 0.792 0.584 0.250
16 Sm 0.500 0.000 0.000
17 Sm 0.124 0.247 0.320
18 Sm 0.876 0.753 0.680
19 Sm 0.800 0.600 0.100
20 Sm 0.200 0.400 0.900
21 Er 0.152 0.303 0.457
22 Er 0.848 0.697 0.543



Record 2
The following is a DFT calculation (GGA-PBE) of a geometry-optimized Na8Hg2Bi structure.

Computed properties:
Electronic total energy ... -1.57 eV/atom
N(E_F) ... 5.37 states/eV/cell
Energy of formation ... -0.205 eV per atom
Space-group type ... C2/m

Cell: 5.219 8.256 9.065 Å, 117.03 106.73 90.00°
Fractional coordinates of all 11 atoms:
1 Bi 0.500 0.000 0.000
2 Na 0.848 0.845 0.695
3 Na 0.001 0.711 0.003
4 Na 0.152 0.155 0.305
5 Hg 0.189 0.688 0.379
6 Na 0.346 0.567 0.692
7 Na 0.654 0.433 0.308
8 Na 0.344 0.121 0.688
9 Na 0.999 0.289 0.997
10 Hg 0.811 0.312 0.621
11 Na 0.656 0.879 0.312



Record 3
The following is a DFT calculation (GGA-PBE) of a geometry-optimized Rb2PPtAu structure.

Computed properties:
Electronic total energy ... -3.56 eV/atom
N(E_F) ... 2.66 states/eV/cell
Energy of formation ... -0.226 eV per atom
Space-group type ... P4/mmm

Cell: 6.637 6.637 4.338 Å, 90.00 90.00 90.00°
Fractional coordinates of all 5 atoms:
1 Rb 0.000 0.500 0.000
2 Rb 0.500 0.000 0.000
3 Au 0.500 0.500 0.500
4 P 0.000 0.000 0.000
5 Pt 0.000 0.000 0.500



Record 4
The following is a DFT calculation (GGA-PBE) of a geometry-optimized VSn structure.

Computed properties:
Electronic total energy ... -6.42 eV/atom
N(E_F) ... 11.02 states/eV/cell
Energy of formation ... 0.141 eV per atom
Space-group type ... Pmn2_1

Cell: 11.974 3.072 6.534 Å, 90.00 90.00 90.00°
Fractional coordinates of all 12 atoms:
1 Sn 0.764 0.001 0.284
2 V 0.899 0.502 0.566
3 V 0.101 0.502 0.566
4 Sn 0.236 0.001 0.284
5 Sn 0.500 0.481 0.466
6 Sn 0.736 0.999 0.784
7 V 0.000 0.007 0.336
8 Sn 0.000 0.519 0.966
9 V 0.601 0.498 0.066
10 V 0.399 0.498 0.066
11 Sn 0.264 0.999 0.784
12 V 0.500 0.993 0.836